Record 1
# Er5Fe2Sb (GGA-PBE, optimized geometry)
# energy relative to the elements, uncorrected	-0.3089	eV/atom
data_Er5Fe2Sb
_chemical_formula_sum 'Er20 Fe8 Sb4'
_cell_length_a 7.395
_cell_length_b 7.395
_cell_length_c 14.194
_cell_angle_alpha 90.00
_cell_angle_beta 90.00
_cell_angle_gamma 90.00
_symmetry_space_group_name_H-M 'I 4/m c m'
_symmetry_Int_Tables_number 140
_symmetry_space_group_name_Hall '-I 4 2c'
loop_
_atom_site_label
_atom_site_type_symbol
_atom_site_fract_x
_atom_site_fract_y
_atom_site_fract_z
Er1 Er 0.000 0.000 0.000
Er2 Er 0.167 0.333 0.135
Fe1 Fe 0.112 0.388 0.500
Sb1 Sb 0.000 0.000 0.250

***

Record 2
# K2ZnCrCl6 (GGA-PBE, optimized geometry)
# energy relative to the elements, uncorrected	-1.3724	eV/atom
data_K2ZnCrCl6
_chemical_formula_sum 'K6 Zn3 Cr3 Cl18'
_cell_length_a 7.0393
_cell_length_b 7.0393
_cell_length_c 17.0796
_cell_angle_alpha 90.00
_cell_angle_beta 90.00
_cell_angle_gamma 120.00
_symmetry_space_group_name_H-M 'R -3'
_symmetry_Int_Tables_number 148
_symmetry_space_group_name_Hall '-R 3'
loop_
_atom_site_label
_atom_site_type_symbol
_atom_site_fract_x
_atom_site_fract_y
_atom_site_fract_z
K1 K 0.0000 0.0000 0.2500
Zn1 Zn 0.0000 0.0000 0.0000
Cr1 Cr 0.0000 0.0000 0.5000
Cl1 Cl 0.0022 0.4594 0.2498

***

Record 3
DFT (GGA-PBE) results for a relaxed structure of Ce2PmZn2Hg2.

Cell and atoms, written as CIF:
```
data_Ce2PmZn2Hg2
_chemical_formula_sum 'Ce6 Pm3 Zn6 Hg6'
_cell_length_a 4.5663
_cell_length_b 4.5663
_cell_length_c 27.5260
_cell_angle_alpha 90.00
_cell_angle_beta 90.00
_cell_angle_gamma 120.00
_symmetry_space_group_name_H-M 'R -3 m'
_symmetry_Int_Tables_number 166
_symmetry_space_group_name_Hall '-R 3 2"'
loop_
_atom_site_label
_atom_site_type_symbol
_atom_site_fract_x
_atom_site_fract_y
_atom_site_fract_z
Ce1 Ce 0.0000 0.0000 0.1428
Pm1 Pm 0.0000 0.0000 0.0000
Zn1 Zn 0.0000 0.0000 0.4135
Hg1 Hg 0.0000 0.0000 0.2647
```

***

Record 4
DFT (GGA-PBE) results for a relaxed structure of Mo2P2Os.

Cell and atoms, written as CIF:
```
data_Mo2P2Os
_chemical_formula_sum 'Mo4 P4 Os2'
_cell_length_a 6.754
_cell_length_b 6.754
_cell_length_c 3.067
_cell_angle_alpha 90.00
_cell_angle_beta 90.00
_cell_angle_gamma 90.00
_symmetry_space_group_name_H-M 'P 4/m b m'
_symmetry_Int_Tables_number 127
_symmetry_space_group_name_Hall '-P 4 2ab'
loop_
_atom_site_label
_atom_site_type_symbol
_atom_site_fract_x
_atom_site_fract_y
_atom_site_fract_z
Mo1 Mo 0.142 0.358 0.000
P1 P 0.159 0.659 0.500
Os1 Os 0.000 0.000 0.500
```

***

| no. | magnetization (μB/cell) | total energy (eV per atom) | calculated volume (Å³ per cell) |
| --- | --- | --- | --- |
| 1 | 7.39 | -5.792 | 776 |
| 2 | 12.00 | -3.790 | 733 |
| 3 | 3.53 | -3.095 | 497 |
| 4 | 0.00 | -8.827 | 140 |